DFT (PBE) results for a geometry-optimized GdHo2Fe6Ni3 structure.

The structure belongs to space group R-3m (No. 166, hexagonal axes); the cell edges are 4.9709, 4.9709 and 24.8014 Å and the angles 90.00°, 90.00° and 120.00°. The inequivalent atoms are Gd at (0.0000, 0.0000, 0.0000), Ho at (0.0000, 0.0000, 0.1417), Fe at (0.0022, 0.5011, 0.9180), Ni at (0.0000, 0.0000, 0.3334) and Ni at (0.0000, 0.0000, 0.5000).

Its volume is 14.74 Å³/atom. For the calculated density, the calculation gives 9.370 g cm⁻³. For the total DFT energy (no corrections), the calculation gives -6.852 eV per atom. The calculation puts the total magnetic moment at 39.86 Bohr magnetons per cell.